1.
## Cd4W5 (PBE-GGA)

Data for a geometry-optimized Cd4W5 structure.

theoretical density: 14.46 g/cm3
formation energy: 0.60 eV/atom
density of states at the Fermi level: 3.57 states/eV/f.u.

a b c (Å): 9.425 9.425 3.538
angles (deg): 90.00 90.00 90.00
Space group I4/mmm (No. 139)
One atom of each set of equivalent atoms:
Cd 0.000 0.330 0.000 [8 per cell]
W 0.000 0.000 0.000 [2 per cell]
W 0.167 0.167 0.500 [8 per cell]

2.
## CdW5 (PBE-GGA)

Data for a geometry-optimized CdW5 structure.

theoretical density: 16.36 g/cm3
formation energy: 0.49 eV/atom
density of states at the Fermi level: 1.36 states/eV/f.u.

a b c (Å): 7.482 7.482 7.482
angles (deg): 90.00 90.00 90.00
Space group F-43m (No. 216)
One atom of each set of equivalent atoms:
Cd 0.000 0.000 0.000 [4 per cell]
W 0.126 0.126 0.626 [16 per cell]
W 0.250 0.250 0.250 [4 per cell]

What did the first record say?
## Cd4W5 (PBE-GGA)

Data for a geometry-optimized Cd4W5 structure.

theoretical density: 14.46 g/cm3
formation energy: 0.60 eV/atom
density of states at the Fermi level: 3.57 states/eV/f.u.

a b c (Å): 9.425 9.425 3.538
angles (deg): 90.00 90.00 90.00
Space group I4/mmm (No. 139)
One atom of each set of equivalent atoms:
Cd 0.000 0.330 0.000 [8 per cell]
W 0.000 0.000 0.000 [2 per cell]
W 0.167 0.167 0.500 [8 per cell]

Question: What is the formula in the first record?
Answer: Cd4W5

Question: Among the records above, which one has the lowest formation energy?
Answer: CdW5